This record from Alexandria describes a relaxed structure of V2HgIO8. The functional is PBE+U.

Cell: 5.338 5.338 7.856 Å, 95.23 95.23 67.09°
Fractional positions:
V 0.164 0.164 0.221
V 0.836 0.836 0.779
Hg 0.500 0.500 0.500
I 0.500 0.500 0.000
O 0.199 0.701 0.800
O 0.273 0.273 0.417
O 0.280 0.280 0.051
O 0.299 0.801 0.200
O 0.701 0.199 0.800
O 0.720 0.720 0.949
O 0.727 0.727 0.583
O 0.801 0.299 0.200

Properties
- calculated total energy (eV/f.u.) = -69.12
- magnetization (μB per atom) = 0.085
- space-group type = C2/m, No. 12
- theoretical density (g/cm³) = 4.52
- DOS(E_F) (states/eV/cell) = 1.54
- V (Å³ per cell) = 204.93